Record 1
A relaxed Sm2CBr crystal, computed with GGA-PBE.

a = 3.7551 Å, b = 3.7551 Å, c = 22.1187 Å
α = 90.00°, β = 90.00°, γ = 120.00°
With the nearest neighbours (Å) after each atom.
Space group R3m (No. 160, hexagonal axes)
Asymmetric unit:
Sm (0.0000, 0.0000, 0.0000) x3  3 C 2.54
Sm (0.0000, 0.0000, 0.2120) x3  3 C 2.56
C (0.0000, 0.0000, 0.6070) x3  6 Sm 2.54-2.56
Br (0.0000, 0.0000, 0.4383) x3  6 Sm 3.18-3.21

---

Record 2
A relaxed Sm4C2Br3 crystal, computed with GGA-PBE.

a = 14.7019 Å, b = 3.6222 Å, c = 8.7693 Å
α = 90.00°, β = 102.40°, γ = 90.00°
With the nearest neighbours (Å) after each atom.
Space group C2/m (No. 12)
Asymmetric unit:
Sm (0.0960, 0.0000, 0.2068) x4  2 C 2.44
Sm (0.1828, 0.5000, 0.6024) x4  3 C 2.42-2.53
C (0.1954, 0.5000, 0.3320) x4  5 Sm 2.42-2.53
Br (0.0000, 0.0000, 0.5000) x2  6 Sm 3.19-3.20
Br (0.0907, 0.5000, 0.8994) x4  5 Sm 3.18-3.25, 1 Br 3.50

---

Record 3
A relaxed Sm7CBr12 crystal, computed with GGA-PBE.

a = 14.7911 Å, b = 14.7911 Å, c = 9.9632 Å
α = 90.00°, β = 90.00°, γ = 120.00°
With the nearest neighbours (Å) after each atom.
Space group R-3 (No. 148, hexagonal axes)
Asymmetric unit:
Sm (0.0000, 0.0000, 0.0000) x3  6 Br 2.92
Sm (0.0431, 0.1577, 0.3536) x18  1 C 2.55
C (0.0000, 0.0000, 0.5000) x3  6 Sm 2.55
Br (0.0236, 0.5859, 0.1645) x18  3 Sm 2.91-3.20
Br (0.0505, 0.1833, 0.8370) x18  3 Sm 2.92-2.97

---

Record 4
A relaxed Sm3CBr2 crystal, computed with GGA-PBE.

a = 7.7253 Å, b = 11.7659 Å, c = 6.6108 Å
α = 90.00°, β = 109.01°, γ = 90.00°
With the nearest neighbours (Å) after each atom.
Space group C2/c (No. 15)
Asymmetric unit:
Sm (0.1782, 0.0720, 0.4965) x8  2 C 2.50-2.58
Sm (0.2500, 0.2500, 0.0000) x4  2 C 2.83, 4 Br 2.94-2.98
C (0.0000, 0.0887, 0.7500) x4  4 Sm 2.50-2.58
Br (0.0000, 0.2738, 0.2500) x4  6 Sm 2.94-3.09
Br (0.0000, 0.4305, 0.7500) x4  4 Sm 2.98-3.01

---

Record 5
A relaxed Sm6CBr12 crystal, computed with GGA-PBE.

a = 10.2624 Å, b = 10.2624 Å, c = 18.5310 Å
α = 90.00°, β = 90.00°, γ = 120.00°
With the nearest neighbours (Å) after each atom.
Space group R-3m (No. 166, hexagonal axes)
Asymmetric unit:
Sm (0.0744, 0.5372, 0.2483) x18  1 C 2.75, 3 Br 2.89-2.92
C (0.0000, 0.0000, 0.5000) x3  6 Sm 2.75
Br (0.0342, 0.5171, 0.8985) x18  3 Sm 2.89-2.92
Br (0.0747, 0.5373, 0.5975) x18  3 Sm 3.15-3.19, 4 Br 3.31-3.44

---

Record 6
A relaxed Sm3CBr crystal, computed with GGA-PBE.

a = 3.6820 Å, b = 9.0426 Å, c = 7.7343 Å
α = 90.00°, β = 90.00°, γ = 90.00°
With the nearest neighbours (Å) after each atom.
Space group Pmmn (No. 59, origin choice 2)
Asymmetric unit:
Sm (0.2500, 0.0710, 0.1578) x4  3 C 2.79-3.11
Sm (0.2500, 0.2500, 0.7743) x2  2 C 2.46
C (0.2500, 0.7500, 0.0144) x2  2 Sm 2.46
Br (0.2500, 0.7500, 0.5596) x2  6 Sm 3.17-3.28, 1 C 3.52

---

Record 7
A relaxed Sm2CBr3 crystal, computed with GGA-PBE.

a = 17.5368 Å, b = 4.0013 Å, c = 12.9801 Å
α = 90.00°, β = 123.42°, γ = 90.00°
With the nearest neighbours (Å) after each atom.
Space group C2/m (No. 12)
Asymmetric unit:
Sm (0.0685, 0.0000, 0.2271) x4  1 C 2.41
Sm (0.1330, 0.5000, 0.0234) x4  2 C 2.50
C (0.0377, 0.0000, 0.9940) x4  1 C 1.42
Br (0.0472, 0.5000, 0.3695) x4  2 Sm 2.88
Br (0.1582, 0.0000, 0.8677) x4  3 Sm 3.04-3.12, 1 C 3.31
Br (0.2120, 0.5000, 0.2849) x4  3 Sm 2.87-2.97

---

Record 8
A relaxed Sm3TeCBr crystal, computed with GGA-PBE.

a = 8.4999 Å, b = 3.7730 Å, c = 10.7095 Å
α = 90.00°, β = 106.01°, γ = 90.00°
With the nearest neighbours (Å) after each atom.
Space group P2_1/m (No. 11)
Asymmetric unit:
Sm (0.0107, 0.2500, 0.3613) x2  3 C 2.39-2.59
Sm (0.2050, 0.2500, 0.0481) x2  2 Br 2.98, 2 Te 3.18
Sm (0.3592, 0.7500, 0.6052) x2  2 C 2.46
Te (0.3033, 0.7500, 0.2962) x2  7 Sm 3.18-3.35
C (0.1673, 0.2500, 0.5839) x2  5 Sm 2.39-2.59
Br (0.3367, 0.7500, 0.8859) x2  3 Sm 2.98-3.06

---

Record 9
A relaxed Sm4Te2CBr crystal, computed with GGA-PBE.

a = 7.4237 Å, b = 4.0767 Å, c = 7.4250 Å
α = 90.00°, β = 107.89°, γ = 90.00°
With the nearest neighbours (Å) after each atom.
Space group P2/m (No. 10)
Asymmetric unit:
Sm (0.1984, 0.0000, 0.1965) x2  2 C 2.67
Sm (0.2149, 0.5000, 0.7904) x2  1 C 2.55
Te (0.0000, 0.0000, 0.5000) x1  6 Sm 3.04-3.05
Te (0.5000, 0.5000, 0.5000) x1  6 Sm 3.34-3.45
C (0.0000, 0.5000, 0.0000) x1  6 Sm 2.55-2.67
Br (0.5000, 0.0000, 0.0000) x1  6 Sm 3.01-3.03

---

Record 10
A relaxed SmTmCBr crystal, computed with GGA-PBE.

a = 3.6881 Å, b = 3.6881 Å, c = 21.5469 Å
α = 90.00°, β = 90.00°, γ = 120.00°
With the nearest neighbours (Å) after each atom.
Space group R3m (No. 160, hexagonal axes)
Asymmetric unit:
Sm (0.0000, 0.0000, 0.0000) x3  3 C 2.57
Tm (0.0000, 0.0000, 0.7867) x3  3 C 2.42
C (0.0000, 0.0000, 0.3998) x3  3 Tm 2.42, 3 Sm 2.57
Br (0.0000, 0.0000, 0.2221) x3  3 Tm 3.06, 3 Sm 3.21

---

Record 11
A relaxed Sm2TmC2Br2 crystal, computed with GGA-PBE.

a = 4.4825 Å, b = 4.4825 Å, c = 15.4475 Å
α = 90.00°, β = 90.00°, γ = 90.00°
With the nearest neighbours (Å) after each atom.
Space group I4/mmm (No. 139)
Asymmetric unit:
Sm (0.0000, 0.0000, 0.0993) x4  4 C 2.72
Tm (0.0000, 0.0000, 0.5000) x2  4 C 2.24
C (0.0000, 0.5000, 0.0000) x4  2 Tm 2.24
Br (0.0000, 0.0000, 0.3095) x4  1 Tm 2.94, 1 Sm 3.25

---

Record 12
A relaxed Sm4ZnCBr2 crystal, computed with GGA-PBE.

a = 7.1885 Å, b = 3.8848 Å, c = 7.6281 Å
α = 90.00°, β = 106.50°, γ = 90.00°
With the nearest neighbours (Å) after each atom.
Space group P2/m (No. 10)
Asymmetric unit:
Sm (0.2009, 0.0000, 0.1853) x2  2 C 2.59, 1 Zn 2.89
Sm (0.2301, 0.5000, 0.7943) x2  1 C 2.58, 2 Zn 2.88
Zn (0.5000, 0.0000, 0.0000) x1  6 Sm 2.88-2.89
C (0.0000, 0.5000, 0.0000) x1  6 Sm 2.58-2.59
Br (0.0000, 0.0000, 0.5000) x1  6 Sm 3.07-3.13
Br (0.5000, 0.5000, 0.5000) x1  6 Sm 3.35-3.36

---

Record 13
A relaxed SnC3Br crystal, computed with GGA-PBE.

Results
ΔE to the lowest computed polymorph ... 192 meV per atom

a = 4.1419 Å, b = 4.1419 Å, c = 4.1419 Å
α = 90.00°, β = 90.00°, γ = 90.00°
With the nearest neighbours (Å) after each atom.
Space group Pm-3m (No. 221)
Asymmetric unit:
Sn (0.0000, 0.0000, 0.0000) x1  12 C 2.93
C (0.0000, 0.5000, 0.5000) x3  2 Br 2.07
Br (0.5000, 0.5000, 0.5000) x1  6 C 2.07

---

Record 14
A relaxed Sn3CBr crystal, computed with GGA-PBE.

Results
ΔE to the lowest computed polymorph ... 1087 meV per atom

a = 5.5935 Å, b = 5.5935 Å, c = 5.5935 Å
α = 90.00°, β = 90.00°, γ = 90.00°
With the nearest neighbours (Å) after each atom.
Space group Pm-3m (No. 221)
Asymmetric unit:
Sn (0.0000, 0.0000, 0.5000) x3  2 Br 2.80
C (0.5000, 0.5000, 0.5000) x1  12 Sn 3.96
Br (0.0000, 0.0000, 0.0000) x1  6 Sn 2.80

---

Record 15
A relaxed SnCBr2 crystal, computed with GGA-PBE.

Results
ΔE to the lowest computed polymorph ... 45 meV per atom

a = 9.6977 Å, b = 9.6977 Å, c = 9.6977 Å
α = 90.00°, β = 90.00°, γ = 90.00°
With the nearest neighbours (Å) after each atom.
Space group Fd-3m (No. 227, origin choice 2)
Asymmetric unit:
Sn (0.1250, 0.1250, 0.1250) x8  12 Br 4.02, 4 C 4.20, 4 Sn 4.20
C (0.1250, 0.1250, 0.6250) x8  4 Br 2.10
Br (0.0000, 0.0000, 0.5000) x16  2 C 2.10

---

Record 16
A relaxed SnC2Br crystal, computed with GGA-PBE.

Results
ΔE to the lowest computed polymorph ... 0 meV per atom

a = 4.9382 Å, b = 4.9382 Å, c = 11.7349 Å
α = 90.00°, β = 90.00°, γ = 90.00°
With the nearest neighbours (Å) after each atom.
Space group I-42d (No. 122)
Asymmetric unit:
Sn (0.0000, 0.0000, 0.0000) x4  4 C 2.24
C (0.2349, 0.2500, 0.1250) x8  2 Sn 2.24, 2 Br 2.32
Br (0.0000, 0.0000, 0.5000) x4  4 C 2.32

---

Record 17
A relaxed SnC3Br crystal, computed with GGA-PBE.

Results
ΔE to the lowest computed polymorph ... 0 meV per atom

a = 4.4231 Å, b = 4.4231 Å, c = 4.4231 Å
α = 90.00°, β = 90.00°, γ = 90.00°
With the nearest neighbours (Å) after each atom.
Space group Pm-3m (No. 221)
Asymmetric unit:
Sn (0.0000, 0.0000, 0.0000) x1  6 C 2.21
C (0.0000, 0.0000, 0.5000) x3  2 Sn 2.21
Br (0.5000, 0.5000, 0.5000) x1  12 C 3.13

---

Record 18
A relaxed SnCBr2 crystal, computed with GGA-PBE.

Results
ΔE to the lowest computed polymorph ... 95 meV per atom

a = 7.3040 Å, b = 7.3040 Å, c = 7.3040 Å
α = 90.00°, β = 90.00°, γ = 90.00°
With the nearest neighbours (Å) after each atom.
Space group Fm-3m (No. 225)
Asymmetric unit:
Sn (0.0000, 0.0000, 0.0000) x4  8 Br 3.16
C (0.0000, 0.0000, 0.5000) x4  8 Br 3.16
Br (0.2500, 0.2500, 0.2500) x8  4 Sn 3.16, 4 C 3.16

---

Record 19
A relaxed Sn3CBr crystal, computed with GGA-PBE.

Results
ΔE to the lowest computed polymorph ... 0 meV per atom

a = 5.0143 Å, b = 5.0143 Å, c = 5.0143 Å
α = 90.00°, β = 90.00°, γ = 90.00°
With the nearest neighbours (Å) after each atom.
Space group Pm-3m (No. 221)
Asymmetric unit:
Sn (0.0000, 0.0000, 0.5000) x3  2 C 2.51
C (0.0000, 0.0000, 0.0000) x1  6 Sn 2.51
Br (0.5000, 0.5000, 0.5000) x1  12 Sn 3.55

---

Record 20
A relaxed SnCBr3 crystal, computed with GGA-PBE.

Results
ΔE to the lowest computed polymorph ... 340 meV per atom

a = 5.5820 Å, b = 5.5820 Å, c = 5.5820 Å
α = 90.00°, β = 90.00°, γ = 90.00°
With the nearest neighbours (Å) after each atom.
Space group Pm-3m (No. 221)
Asymmetric unit:
Sn (0.0000, 0.0000, 0.0000) x1  6 Br 2.79
C (0.5000, 0.5000, 0.5000) x1  12 Br 3.95
Br (0.0000, 0.0000, 0.5000) x3  2 Sn 2.79

---

Number 1: E_form (uncorrected) -905 meV per atom, D(E_F) 0.489 states/eV per atom, VASP energy -5.989 eV/atom. Number 2: E_form (uncorrected) -947 meV per atom, D(E_F) 0.169 states/eV per atom, VASP energy -5.652 eV/atom. Number 3: E_form (uncorrected) -1604 meV per atom, D(E_F) 0.622 states/eV per atom, VASP energy -4.721 eV/atom. Number 4: E_form (uncorrected) -835 meV per atom, D(E_F) 0.469 states/eV per atom, VASP energy -5.289 eV/atom. Number 5: E_form (uncorrected) -1398 meV per atom, D(E_F) 0.304 states/eV per atom, VASP energy -4.430 eV/atom. Number 6: E_form (uncorrected) -290 meV per atom, D(E_F) 0.376 states/eV per atom, VASP energy -5.301 eV/atom. Number 7: E_form (uncorrected) -1300 meV per atom, D(E_F) 0.037 states/eV per atom, VASP energy -5.246 eV/atom. Number 8: E_form (uncorrected) -840 meV per atom, D(E_F) 0.579 states/eV per atom, VASP energy -5.539 eV/atom. Number 9: E_form (uncorrected) -1054 meV per atom, D(E_F) 0.393 states/eV per atom, VASP energy -5.561 eV/atom. Number 10: E_form (uncorrected) -932 meV per atom, D(E_F) 0.507 states/eV per atom, VASP energy -5.954 eV/atom. Number 11: E_form (uncorrected) -666 meV per atom, D(E_F) 0.138 states/eV per atom, VASP energy -5.766 eV/atom. Number 12: E_form (uncorrected) -732 meV per atom, D(E_F) 0.758 states/eV per atom, VASP energy -4.823 eV/atom. Number 13: E_form (uncorrected) 3254 meV per atom, D(E_F) 0.705 states/eV per atom, VASP energy -3.415 eV/atom. Number 14: E_form (uncorrected) 1912 meV per atom, D(E_F) 0.340 states/eV per atom, VASP energy -2.669 eV/atom. Number 15: E_form (uncorrected) 1286 meV per atom, D(E_F) 0.579 states/eV per atom, VASP energy -2.857 eV/atom. Number 16: E_form (uncorrected) 2035 meV per atom, D(E_F) 0.278 states/eV per atom, VASP energy -3.996 eV/atom. Number 17: E_form (uncorrected) 3062 meV per atom, D(E_F) 0.876 states/eV per atom, VASP energy -3.607 eV/atom. Number 18: E_form (uncorrected) 1336 meV per atom, D(E_F) 1.179 states/eV per atom, VASP energy -2.807 eV/atom. Number 19: E_form (uncorrected) 825 meV per atom, D(E_F) 1.386 states/eV per atom, VASP energy -3.756 eV/atom. Number 20: E_form (uncorrected) 1100 meV per atom, D(E_F) 1.967 states/eV per atom, VASP energy -2.549 eV/atom.